1.
Here is crystalline AcGaAg at its relaxed geometry from the Open Quantum Materials Database. Energies are from PBE-GGA.

abc: 5.1882 5.1882 5.1882
angles: 60.00 60.00 60.00
With the nearest neighbours (Å) after each atom.
Element x y z (fractional)
1 Ac 0.0000 0.0000 0.0000  4 Ga 3.18, 4 Ag 3.18
2 Ag 0.2500 0.2500 0.2500  4 Ac 3.18
3 Ga 0.7500 0.7500 0.7500  4 Ac 3.18

Computed properties:
E_tot: -9.51 eV per formula unit

2.
Here is crystalline Al4CdO7 at its relaxed geometry from the Open Quantum Materials Database. Energies are from PBE-GGA.

abc: 7.7121 7.7121 5.4000
angles: 102.46 102.46 70.22
With the nearest neighbours (Å) after each atom.
Element x y z (fractional)
1 Al 0.5606 0.6871 0.2399  4 O 1.73-1.79
2 Al 0.4394 0.3129 0.7601  4 O 1.73-1.79
3 Al 0.3129 0.4394 0.2601  4 O 1.73-1.79
4 Al 0.0744 0.2417 0.8134  4 O 1.75-1.81
5 Al 0.7583 0.9256 0.6866  4 O 1.75-1.81
6 Al 0.6871 0.5606 0.7399  4 O 1.73-1.79
7 Al 0.9256 0.7583 0.1866  4 O 1.75-1.81
8 Al 0.2417 0.0744 0.3134  4 O 1.75-1.81
9 O 0.6323 0.1329 0.8568  2 Al 1.73-1.75
10 O 0.7527 0.6376 0.0746  3 Al 1.78-1.81
11 O 0.1821 0.0490 0.5960  2 Al 1.75-1.76
12 O 0.9510 0.8179 0.9040  2 Al 1.75-1.76
13 O 0.5266 0.4734 0.2500  2 Al 1.77
14 O 0.1329 0.6323 0.3568  2 Al 1.73-1.75
15 O 0.2473 0.3624 0.9254  3 Al 1.78-1.81
16 O 0.3677 0.8671 0.1432  2 Al 1.73-1.75
17 O 0.0490 0.1821 0.0960  2 Al 1.75-1.76
18 O 0.3624 0.2473 0.4254  3 Al 1.78-1.81
19 O 0.6376 0.7527 0.5746  3 Al 1.78-1.81
20 O 0.8671 0.3677 0.6432  2 Al 1.73-1.75
21 O 0.4734 0.5266 0.7500  2 Al 1.77
22 O 0.8179 0.9510 0.4040  2 Al 1.75-1.76
23 Cd 0.7909 0.2091 0.2500  5 O 2.25-2.34
24 Cd 0.2091 0.7909 0.7500  5 O 2.25-2.34

Computed properties:
E_tot: -82.80 eV per formula unit

3.
Here is crystalline PrGdAu at its relaxed geometry from the Open Quantum Materials Database. Energies are from PBE-GGA.

abc: 7.1606 5.1015 9.3462
angles: 90.00 90.00 90.00
With the nearest neighbours (Å) after each atom.
Element x y z (fractional)
1 Gd 0.5061 0.2500 0.1740  3 Au 2.98-3.13
2 Gd 0.0061 0.2500 0.3260  3 Au 2.98-3.13
3 Gd 0.4939 0.7500 0.8260  3 Au 2.98-3.13
4 Gd 0.9939 0.7500 0.6740  3 Au 2.98-3.13
5 Au 0.7270 0.2500 0.9042  3 Gd 2.98-3.13, 4 Pr 3.02-3.19
6 Au 0.7730 0.7500 0.4042  3 Gd 2.98-3.13, 4 Pr 3.02-3.19
7 Au 0.2270 0.2500 0.5958  3 Gd 2.98-3.13, 4 Pr 3.02-3.19
8 Au 0.2730 0.7500 0.0958  3 Gd 2.98-3.13, 4 Pr 3.02-3.19
9 Pr 0.3478 0.7500 0.4136  4 Au 3.02-3.19
10 Pr 0.1522 0.2500 0.9136  4 Au 3.02-3.19
11 Pr 0.8478 0.7500 0.0864  4 Au 3.02-3.19
12 Pr 0.6522 0.2500 0.5864  4 Au 3.02-3.19

Computed properties:
DFT formation energy: -0.5589 eV/atom
E_tot: -14.37 eV per formula unit

4.
Here is crystalline FeCo2Bi at its relaxed geometry from the Open Quantum Materials Database. Energies are from PBE-GGA.

abc: 4.3050 4.3050 4.3050
angles: 60.00 60.00 60.00
With the nearest neighbours (Å) after each atom.
Element x y z (fractional)
1 Co 0.0000 0.0000 0.0000  4 Fe 2.64, 4 Co 2.64
2 Co 0.7500 0.7500 0.7500  4 Bi 2.64, 4 Co 2.64
3 Bi 0.5000 0.5000 0.5000  4 Fe 2.64, 4 Co 2.64
4 Fe 0.2500 0.2500 0.2500  4 Bi 2.64, 4 Co 2.64

Computed properties:
E_tot: -24.71 eV per formula unit

5.
Here is crystalline RbCuAu at its relaxed geometry from the Open Quantum Materials Database. Energies are from PBE-GGA.

abc: 4.9355 4.9355 4.9355
angles: 60.00 60.00 60.00
With the nearest neighbours (Å) after each atom.
Element x y z (fractional)
1 Au 0.2500 0.2500 0.2500  4 Cu 3.02
2 Rb 0.7500 0.7500 0.7500  4 Cu 3.02
3 Cu 0.0000 0.0000 0.0000  4 Rb 3.02, 4 Au 3.02

Computed properties:
E_tot: -6.78 eV per formula unit

6.
Here is crystalline ErBeCo at its relaxed geometry from the Open Quantum Materials Database. Energies are from PBE-GGA.

abc: 4.1102 4.1102 4.1102
angles: 60.00 60.00 60.00
With the nearest neighbours (Å) after each atom.
Element x y z (fractional)
1 Er 0.7500 0.7500 0.7500  4 Be 2.52
2 Be 0.0000 0.0000 0.0000  4 Er 2.52, 4 Co 2.52
3 Co 0.2500 0.2500 0.2500  4 Be 2.52

Computed properties:
E_tot: -14.61 eV per formula unit

7.
Here is crystalline AcTbNp at its relaxed geometry from the Open Quantum Materials Database. Energies are from PBE-GGA.

abc: 5.3743 5.3743 5.3743
angles: 60.00 60.00 60.00
With the nearest neighbours (Å) after each atom.
Element x y z (fractional)
1 Tb 0.7500 0.7500 0.7500  4 Ac 3.29
2 Np 0.2500 0.2500 0.2500  4 Ac 3.29
3 Ac 0.0000 0.0000 0.0000  4 Tb 3.29, 4 Np 3.29

Computed properties:
DFT formation energy: 1.2689 eV/atom
E_tot: -17.70 eV per formula unit

8.
Here is crystalline NaAgGeTe3 at its relaxed geometry from the Open Quantum Materials Database. Energies are from PBE-GGA.

abc: 7.8128 7.8128 11.7286
angles: 90.00 90.00 27.51
With the nearest neighbours (Å) after each atom.
Element x y z (fractional)
1 Te 0.8559 0.8559 0.5250  1 Ag 2.73, 2 Ge 2.88
2 Te 0.1441 0.1441 0.4750  1 Ag 2.73, 2 Ge 2.88
3 Te 0.5500 0.5500 0.7500  2 Ag 2.92, 2 Ge 3.03
4 Te 0.1441 0.1441 0.0250  1 Ag 2.73, 2 Ge 2.88
5 Te 0.4499 0.4499 0.2500  2 Ag 2.92, 2 Ge 3.03
6 Te 0.8559 0.8559 0.9750  1 Ag 2.73, 2 Ge 2.88
7 Na 0.2306 0.2306 0.7500  2 Ag 3.19, 4 Te 3.31-3.48
8 Na 0.7694 0.7694 0.2500  2 Ag 3.19, 4 Te 3.31-3.48
9 Ge 0.5000 0.5000 0.5000  6 Te 2.88-3.03
10 Ge 0.5000 0.5000 0.0000  6 Te 2.88-3.03
11 Ag 0.0983 0.0983 0.2500  4 Te 2.73-2.92
12 Ag 0.9017 0.9017 0.7500  4 Te 2.73-2.92

Computed properties:
E_tot: -19.35 eV per formula unit

9.
Here is crystalline CdAu8 at its relaxed geometry from the Open Quantum Materials Database. Energies are from PBE-GGA.

abc: 4.9948 4.9948 31.2710
angles: 90.36 90.36 48.90
With the nearest neighbours (Å) after each atom.
Element x y z (fractional)
1 Au 0.1469 0.1469 0.6379  12 Au 2.87-3.09
2 Au 0.0498 0.0498 0.5458  12 Au 2.89-3.01
3 Au 0.7486 0.7486 0.2677  3 Cd 2.83-2.89, 6 Au 2.90-3.09
4 Au 0.9502 0.9502 0.4542  12 Au 2.89-3.01
5 Au 0.8531 0.8531 0.3621  12 Au 2.87-3.09
6 Au 0.2515 0.2515 0.4244  12 Au 2.89-2.99
7 Au 0.7485 0.7485 0.5756  12 Au 2.89-2.99
8 Au 0.1527 0.1527 0.3335  11 Au 2.87-3.05, 1 Cd 2.99
9 Au 0.4491 0.4491 0.6073  12 Au 2.90-3.09
10 Au 0.5541 0.5541 0.7017  2 Cd 2.89, 9 Au 2.89-3.09
11 Au 0.4459 0.4459 0.2983  2 Cd 2.89, 9 Au 2.89-3.09
12 Au 0.5509 0.5509 0.3927  12 Au 2.90-3.09
13 Au 0.2514 0.2514 0.7323  3 Cd 2.83-2.89, 6 Au 2.90-3.09
14 Au 0.3505 0.3505 0.5157  12 Au 2.90-3.00
15 Au 0.8473 0.8473 0.6665  11 Au 2.87-3.05, 1 Cd 2.99
16 Au 0.6495 0.6495 0.4843  12 Au 2.90-3.00
17 Cd 0.0538 0.0538 0.2422  6 Au 2.83-2.99
18 Cd 0.9462 0.9462 0.7578  6 Au 2.83-2.99

Computed properties:
DFT formation energy: 0.0401 eV/atom
E_tot: -26.67 eV per formula unit

10.
Here is crystalline TlCuAgAu at its relaxed geometry from the Open Quantum Materials Database. Energies are from PBE-GGA.

abc: 4.7183 4.7183 4.7183
angles: 60.00 60.00 60.00
With the nearest neighbours (Å) after each atom.
Element x y z (fractional)
1 Tl 0.0000 0.0000 0.0000  4 Cu 2.89, 4 Ag 2.89
2 Cu 0.7500 0.7500 0.7500  4 Au 2.89, 4 Tl 2.89
3 Au 0.5000 0.5000 0.5000  4 Cu 2.89, 4 Ag 2.89
4 Ag 0.2500 0.2500 0.2500  4 Tl 2.89, 4 Au 2.89

Computed properties:
E_tot: -11.60 eV per formula unit

11.
Here is crystalline HoTlSn at its relaxed geometry from the Open Quantum Materials Database. Energies are from PBE-GGA.

abc: 5.1516 5.1516 5.1516
angles: 60.00 60.00 60.00
With the nearest neighbours (Å) after each atom.
Element x y z (fractional)
1 Tl 0.7500 0.7500 0.7500  4 Sn 3.15
2 Sn 0.0000 0.0000 0.0000  4 Ho 3.15, 4 Tl 3.15
3 Ho 0.2500 0.2500 0.2500  4 Sn 3.15

Computed properties:
E_tot: -11.08 eV per formula unit

12.
Here is crystalline LuTcAu at its relaxed geometry from the Open Quantum Materials Database. Energies are from PBE-GGA.

abc: 4.5671 4.5671 4.5671
angles: 60.00 60.00 60.00
With the nearest neighbours (Å) after each atom.
Element x y z (fractional)
1 Au 0.0000 0.0000 0.0000  4 Tc 2.80, 4 Lu 2.80
2 Tc 0.7500 0.7500 0.7500  4 Au 2.80
3 Lu 0.2500 0.2500 0.2500  4 Au 2.80

Computed properties:
DFT formation energy: 0.2884 eV/atom
E_tot: -17.29 eV per formula unit

Which value of E_tot does entry 8 give?
-19.35 eV per formula unit

Copy entry 2 word for word.
Here is crystalline Al4CdO7 at its relaxed geometry from the Open Quantum Materials Database. Energies are from PBE-GGA.

abc: 7.7121 7.7121 5.4000
angles: 102.46 102.46 70.22
With the nearest neighbours (Å) after each atom.
Element x y z (fractional)
1 Al 0.5606 0.6871 0.2399  4 O 1.73-1.79
2 Al 0.4394 0.3129 0.7601  4 O 1.73-1.79
3 Al 0.3129 0.4394 0.2601  4 O 1.73-1.79
4 Al 0.0744 0.2417 0.8134  4 O 1.75-1.81
5 Al 0.7583 0.9256 0.6866  4 O 1.75-1.81
6 Al 0.6871 0.5606 0.7399  4 O 1.73-1.79
7 Al 0.9256 0.7583 0.1866  4 O 1.75-1.81
8 Al 0.2417 0.0744 0.3134  4 O 1.75-1.81
9 O 0.6323 0.1329 0.8568  2 Al 1.73-1.75
10 O 0.7527 0.6376 0.0746  3 Al 1.78-1.81
11 O 0.1821 0.0490 0.5960  2 Al 1.75-1.76
12 O 0.9510 0.8179 0.9040  2 Al 1.75-1.76
13 O 0.5266 0.4734 0.2500  2 Al 1.77
14 O 0.1329 0.6323 0.3568  2 Al 1.73-1.75
15 O 0.2473 0.3624 0.9254  3 Al 1.78-1.81
16 O 0.3677 0.8671 0.1432  2 Al 1.73-1.75
17 O 0.0490 0.1821 0.0960  2 Al 1.75-1.76
18 O 0.3624 0.2473 0.4254  3 Al 1.78-1.81
19 O 0.6376 0.7527 0.5746  3 Al 1.78-1.81
20 O 0.8671 0.3677 0.6432  2 Al 1.73-1.75
21 O 0.4734 0.5266 0.7500  2 Al 1.77
22 O 0.8179 0.9510 0.4040  2 Al 1.75-1.76
23 Cd 0.7909 0.2091 0.2500  5 O 2.25-2.34
24 Cd 0.2091 0.7909 0.7500  5 O 2.25-2.34

Computed properties:
E_tot: -82.80 eV per formula unit

Which formula does entry 9 have?
CdAu8

The highest E_tot belongs to which entry?
RbCuAu